No. 1
11
Lattice="-0.7930 2.8388 -2.0672 0.7758 -0.0601 -3.5150 -28.9159 -11.6393 -8.0269" Properties=species:S:1:pos:R:3 comment="Nd3Dy2Y6 | Alexandria | PBE | optimized geometry" delta_e_f_ev_per_atom=0.02 total_energy_ev_per_atom=-5.646 polymorph_energy_ev_per_atom=0.000 spacegroup="No. 166" pbc="T T T"
Nd 0.0000 0.0000 0.0000
Nd -5.3084 -1.3785 -2.9917
Nd -23.6247 -7.4821 -10.6173
Dy -18.3687 -6.1263 -7.6368
Dy -10.5644 -2.7343 -5.9722
Y -20.9530 -8.1783 -6.3285
Y -7.9801 -0.6823 -7.2805
Y -13.1523 -4.7878 -4.6647
Y -15.7808 -4.0728 -8.9443
Y -26.2707 -9.5609 -9.3222
Y -2.6623 0.7003 -4.2868

No. 2
19
Lattice="6.9709 0.0687 0.0612 0.9725 6.9031 0.0612 0.9725 0.8535 6.8504" Properties=species:S:1:pos:R:3 comment="Sm2Zn2Pd15 | Alexandria | PBE | optimized geometry" delta_e_f_ev_per_atom=-0.38 total_energy_ev_per_atom=-5.111 spacegroup="No. 166" pbc="T T T"
Sm 3.0621 2.6875 2.3948
Sm 5.8537 5.1377 4.5780
Zn 0.8455 0.7421 0.6612
Zn 8.0703 7.0831 6.3115
Pd 3.4854 0.0343 0.0306
Pd 0.4862 0.4268 3.4252
Pd 0.4862 3.4515 0.0306
Pd 0.9725 5.0614 2.1281
Pd 5.1447 2.1493 0.0612
Pd 2.7986 0.6146 4.7835
Pd 2.7986 4.8224 0.0612
Pd 5.1447 0.3076 2.1281
Pd 0.9725 2.6952 4.7835
Pd 2.3514 5.0792 4.5258
Pd 5.3413 4.6880 1.1418
Pd 5.3413 1.6726 4.5258
Pd 6.5644 2.7461 2.4469
Pd 3.5745 3.1373 5.8309
Pd 3.5745 6.1526 2.4469

No. 3
5
Lattice="5.6419 0.0000 0.0000 0.0000 5.6419 0.0000 0.0000 0.0000 4.8322" Properties=species:S:1:pos:R:3 comment="BeInSbI2 | Alexandria | PBE | optimized geometry" total_energy_ev_per_atom=-2.581 polymorph_energy_ev_per_atom=0.000 spacegroup="No. 123" formation_energy_uncorrected_ev_per_atom=0.157 pbc="T T T"
I 0.0000 2.8210 0.0000
I 2.8210 0.0000 0.0000
Sb 0.0000 0.0000 2.4161
Be 0.0000 0.0000 0.0000
In 2.8210 2.8210 2.4161

No. 4
4
Lattice="-1.5436 -2.4684 1.6195 0.6816 -2.0761 -2.5147 7.6847 -2.2306 3.9245" Properties=species:S:1:pos:R:3 comment="Ho2ErFe | Alexandria | PBE | optimized geometry" delta_e_f_ev_per_atom=0.09 total_energy_ev_per_atom=-5.457 polymorph_energy_ev_per_atom=0.115 spacegroup="No. 123" pbc="T T T"
Fe -0.4310 -2.2723 -0.4476
Ho 6.2993 -1.8285 3.2170
Ho 1.3854 -0.4021 0.7075
Er 3.4114 -3.3876 1.5146

No. 5
12
Lattice="4.7834 0.0000 0.0000 -2.3917 4.1426 0.0000 0.0000 0.0000 6.7066" Properties=species:S:1:pos:R:3 comment="PmH6Pd4Au | Alexandria | PBE | optimized geometry" total_energy_ev_per_atom=-4.326 spacegroup="No. 191" pbc="T T T"
Pm 0.0000 0.0000 3.3533
H 1.1959 2.0713 2.3940
H 1.1959 2.0713 4.3127
H 2.3917 0.0000 2.3940
H -1.1959 2.0713 2.3940
H 2.3917 0.0000 4.3127
H -1.1959 2.0713 4.3127
Pd 2.3917 1.3809 1.3485
Pd 0.0000 2.7617 1.3485
Pd 0.0000 2.7617 5.3582
Pd 2.3917 1.3809 5.3582
Au 0.0000 0.0000 0.0000

No. 6
8
Lattice="5.0032 0.0000 0.0000 0.0000 4.1942 -0.1682 -2.5016 -1.6918 9.5196" Properties=species:S:1:pos:R:3 comment="Er3SnHg4 | Alexandria | PBE | optimized geometry" delta_e_f_ev_per_atom=-0.42 total_energy_ev_per_atom=-2.777 spacegroup="No. 12" pbc="T T T"
Er 0.0000 2.0971 -0.0841
Er 2.5016 2.2090 2.4871
Er 0.0000 0.2935 6.8642
Sn 2.5016 0.0000 0.0000
Hg 0.0000 2.2958 4.4858
Hg 2.5016 0.2067 4.8656
Hg 0.0000 0.1005 2.2924
Hg 2.5016 2.4020 7.0589